Entry 1:
A plane-wave DFT calculation with PBE was carried out for a relaxed structure of Tl2PbCl.

Cell and atoms, written as POSCAR:
```
Tl2PbCl
1.0
-1.831 2.698 6.023
1.831 -2.698 6.023
1.831 2.698 -6.023
Tl Pb Cl
2 1 1
Direct
0.248 0.248 0.000
0.752 0.752 0.000
0.500 0.000 0.500
0.000 0.500 0.500
```

Results
Raw formation energy (meV/atom): -255
Distance to the lowest polymorph of the same formula (meV per atom): 100


Entry 2:
A plane-wave DFT calculation with PBE was carried out for a relaxed structure of TmScIn4.

Cell and atoms, written as POSCAR:
```
TmScIn4
1.0
0.000 4.180 4.180
4.180 0.000 4.180
4.180 4.180 0.000
Tm Sc In
1 1 4
Direct
0.000 0.000 0.000
0.750 0.750 0.750
0.375 0.375 0.375
0.375 0.375 0.875
0.375 0.875 0.375
0.875 0.375 0.375
```

Results
ΔH_f (0 K) (meV/atom): -198.5


Entry 3:
A plane-wave DFT calculation with PBE was carried out for a relaxed structure of ReMo2Pb.

Cell and atoms, written as POSCAR:
```
ReMo2Pb
1.0
4.635 0.000 0.000
0.000 4.635 0.000
0.000 0.000 3.223
Re Mo Pb
1 2 1
Direct
0.000 0.000 0.000
0.000 0.500 0.500
0.500 0.000 0.500
0.500 0.500 0.000
```

Results
ΔH_f (0 K) (meV/atom): 769.3


Entry 4:
A plane-wave DFT calculation with PBE was carried out for a relaxed structure of RbTl2Bi2.

Cell and atoms, written as POSCAR:
```
RbTl2Bi2
1.0
-2.698 2.698 6.800
2.698 -2.698 6.800
2.698 2.698 -6.800
Rb Tl Bi
1 2 2
Direct
0.000 0.000 0.000
0.250 0.750 0.500
0.750 0.250 0.500
0.382 0.382 0.000
0.618 0.618 0.000
```

Results
Distance to the lowest polymorph of the same formula (meV per atom): 0
ΔH_f (0 K) (meV/atom): -172.6


Entry 5:
A plane-wave DFT calculation with PBE was carried out for a relaxed structure of La2NdLu.

Cell and atoms, written as POSCAR:
```
La2NdLu
1.0
3.713 0.000 0.000
0.000 3.713 0.000
0.000 0.000 10.054
La Nd Lu
2 1 1
Direct
0.000 0.000 0.242
0.000 0.000 0.758
0.500 0.500 0.500
0.500 0.500 0.000
```

Results
Distance to the lowest polymorph of the same formula (meV per atom): 13
ΔH_f (0 K) (meV/atom): 25.5


Entry 6:
A plane-wave DFT calculation with PBE was carried out for a relaxed structure of Fe3BiPd.

Cell and atoms, written as POSCAR:
```
Fe3BiPd
1.0
4.688 0.000 0.000
0.000 4.688 0.000
0.000 0.000 4.688
Fe Bi Pd
3 1 1
Direct
0.000 0.000 0.500
0.000 0.500 0.000
0.500 0.000 0.000
0.500 0.500 0.500
0.000 0.000 0.000
```

Results
Distance to the lowest polymorph of the same formula (meV per atom): 0
ΔH_f (0 K) (meV/atom): 972.3


Entry 7:
A plane-wave DFT calculation with PBE was carried out for a relaxed structure of Ho8GaAg2.

Cell and atoms, written as POSCAR:
```
Ho8GaAg2
1.0
8.834 -2.574 0.000
8.834 2.574 0.000
-2.030 0.000 6.577
Ho Ga Ag
8 1 2
Direct
0.027 0.027 0.281
0.197 0.197 0.813
0.333 0.333 0.523
0.407 0.407 0.043
0.593 0.593 0.957
0.667 0.667 0.477
0.803 0.803 0.187
0.973 0.973 0.719
0.500 0.500 0.500
0.183 0.183 0.218
0.817 0.817 0.782
```

Results
ΔH_f (0 K) (meV/atom): -202.4


Entry 8:
A plane-wave DFT calculation with PBE was carried out for a relaxed structure of PmNd2Sm2Mg.

Cell and atoms, written as POSCAR:
```
PmNd2Sm2Mg
1.0
6.197 0.000 0.000
0.000 18.932 0.000
0.000 0.000 3.452
Pm Nd Sm Mg
2 4 4 2
Direct
0.000 0.000 0.000
0.500 0.500 0.500
0.167 0.363 0.500
0.333 0.863 0.000
0.667 0.137 0.000
0.833 0.637 0.500
0.166 0.201 0.000
0.334 0.701 0.500
0.666 0.299 0.500
0.834 0.799 0.000
0.000 0.500 0.000
0.500 0.000 0.500
```

Results
ΔH_f (0 K) (meV/atom): 223.0


Entry 9:
A plane-wave DFT calculation with PBE was carried out for a relaxed structure of BaNaAc2Hg4.

Cell and atoms, written as POSCAR:
```
BaNaAc2Hg4
1.0
2.828 1.633 9.366
-2.828 1.633 9.366
0.000 -3.265 9.366
Ba Na Ac Hg
1 1 2 4
Direct
0.000 0.000 0.000
0.500 0.500 0.500
0.245 0.245 0.245
0.755 0.755 0.755
0.126 0.126 0.126
0.379 0.379 0.379
0.621 0.621 0.621
0.874 0.874 0.874
```

Results
ΔH_f (0 K) (meV/atom): -418.3


Entry 10:
A plane-wave DFT calculation with PBE was carried out for a relaxed structure of BaRuRh.

Cell and atoms, written as POSCAR:
```
BaRuRh
1.0
0.000 3.334 3.334
3.334 0.000 3.334
3.334 3.334 0.000
Ba Ru Rh
1 1 1
Direct
0.000 0.000 0.000
0.750 0.750 0.750
0.250 0.250 0.250
```

Results
Distance to the lowest polymorph of the same formula (meV per atom): 1210
ΔH_f (0 K) (meV/atom): 1506.2


Entry 11:
A plane-wave DFT calculation with PBE was carried out for a relaxed structure of Ta13Nb2.

Cell and atoms, written as POSCAR:
```
Ta13Nb2
1.0
4.927 2.845 4.024
-4.927 2.845 4.024
0.000 -5.690 4.024
Ta Nb
13 2
Direct
0.000 0.000 0.000
0.191 0.758 0.758
0.193 0.489 0.489
0.242 0.242 0.809
0.242 0.809 0.242
0.489 0.193 0.489
0.489 0.489 0.193
0.511 0.511 0.807
0.511 0.807 0.511
0.758 0.191 0.758
0.758 0.758 0.191
0.807 0.511 0.511
0.809 0.242 0.242
0.215 0.215 0.215
0.785 0.785 0.785
```

Results
ΔH_f (0 K) (meV/atom): 1128.9


Entry 12:
A plane-wave DFT calculation with PBE was carried out for a relaxed structure of Ac8La3Pm2.

Cell and atoms, written as POSCAR:
```
Ac8La3Pm2
1.0
12.599 0.000 0.000
0.000 3.834 0.000
-0.010 0.000 22.804
Ac La Pm
16 6 4
Direct
0.043 0.000 0.075
0.057 0.500 0.341
0.128 0.000 0.783
0.218 0.500 0.954
0.282 0.500 0.454
0.372 0.000 0.282
0.442 0.500 0.841
0.457 0.000 0.575
0.543 0.000 0.425
0.558 0.500 0.159
0.628 0.000 0.718
0.718 0.500 0.546
0.782 0.500 0.046
0.872 0.000 0.217
0.943 0.500 0.659
0.957 0.000 0.925
0.000 0.500 0.500
0.154 0.500 0.198
0.345 0.500 0.698
0.500 0.500 0.000
0.655 0.500 0.302
0.846 0.500 0.802
0.174 0.000 0.599
0.326 0.000 0.099
0.674 0.000 0.901
0.826 0.000 0.401
```

Results
Distance to the lowest polymorph of the same formula (meV per atom): 0
ΔH_f (0 K) (meV/atom): 125.5


Entry 13:
A plane-wave DFT calculation with PBE was carried out for a relaxed structure of Tb8GaSn2.

Cell and atoms, written as POSCAR:
```
Tb8GaSn2
1.0
9.659 -2.535 0.000
9.659 2.535 0.000
-1.675 0.000 6.524
Tb Ga Sn
8 1 2
Direct
0.019 0.019 0.276
0.216 0.216 0.820
0.347 0.347 0.500
0.409 0.409 0.030
0.591 0.591 0.970
0.653 0.653 0.500
0.784 0.784 0.180
0.981 0.981 0.724
0.500 0.500 0.500
0.180 0.180 0.257
0.820 0.820 0.743
```

Results
ΔH_f (0 K) (meV/atom): -376.8


Entry 14:
A plane-wave DFT calculation with PBE was carried out for a relaxed structure of K2NpGaO6.

Cell and atoms, written as POSCAR:
```
K2NpGaO6
1.0
0.000 4.080 4.080
4.080 0.000 4.080
4.080 4.080 0.000
K Np Ga O
2 1 1 6
Direct
0.250 0.250 0.250
0.750 0.750 0.750
0.000 0.000 0.000
0.500 0.500 0.500
0.250 0.250 0.750
0.250 0.750 0.250
0.250 0.750 0.750
0.750 0.250 0.250
0.750 0.250 0.750
0.750 0.750 0.250
```

Results
Raw formation energy (meV/atom): -2163


Entry 15:
A plane-wave DFT calculation with PBE was carried out for a relaxed structure of TaNbReH2.

Cell and atoms, written as POSCAR:
```
TaNbReH2
1.0
3.705 0.000 0.000
0.000 3.705 0.000
0.000 0.000 5.063
Ta Nb Re H
1 1 1 2
Direct
0.000 0.000 0.000
0.500 0.500 0.000
0.000 0.000 0.500
0.000 0.500 0.500
0.500 0.000 0.500
```


Entry 16:
A plane-wave DFT calculation with PBE was carried out for a relaxed structure of Y6AlIn3.

Cell and atoms, written as POSCAR:
```
Y6AlIn3
1.0
9.255 0.000 0.000
0.000 5.304 0.000
-3.538 0.000 11.095
Y Al In
12 2 6
Direct
0.034 0.250 0.411
0.163 0.750 0.170
0.264 0.250 0.001
0.350 0.750 0.819
0.364 0.250 0.329
0.399 0.250 0.624
0.601 0.750 0.376
0.636 0.750 0.671
0.650 0.250 0.181
0.736 0.750 0.999
0.837 0.250 0.830
0.966 0.750 0.589
0.455 0.750 0.104
0.545 0.250 0.896
0.025 0.750 0.882
0.120 0.250 0.717
0.276 0.750 0.469
0.724 0.250 0.531
0.880 0.750 0.283
0.975 0.250 0.118
```

Results
ΔH_f (0 K) (meV/atom): -382.9


Entry 17:
A plane-wave DFT calculation with PBE was carried out for a relaxed structure of PmPaPb2O6.

Cell and atoms, written as POSCAR:
```
PmPaPb2O6
1.0
6.075 0.000 0.000
0.000 6.279 0.000
-6.045 0.000 8.745
Pm Pa Pb O
2 2 4 12
Direct
0.000 0.000 0.000
0.000 0.500 0.500
0.500 0.000 0.500
0.500 0.500 0.000
0.241 0.029 0.748
0.241 0.471 0.248
0.759 0.529 0.752
0.759 0.971 0.252
0.149 0.183 0.449
0.149 0.317 0.949
0.264 0.706 0.444
0.264 0.794 0.944
0.369 0.031 0.260
0.369 0.469 0.760
0.631 0.531 0.240
0.631 0.969 0.740
0.736 0.206 0.056
0.736 0.294 0.556
0.851 0.683 0.051
0.851 0.817 0.551
```

Results
Raw formation energy (meV/atom): -2553


Entry 18:
A plane-wave DFT calculation with PBE was carried out for a relaxed structure of TlSi2Tc.

Cell and atoms, written as POSCAR:
```
TlSi2Tc
1.0
3.203 0.000 0.000
0.000 3.203 0.000
0.000 0.000 7.131
Tl Si Tc
1 2 1
Direct
0.000 0.000 0.000
0.000 0.000 0.543
0.500 0.500 0.342
0.500 0.500 0.680
```

Results
Raw formation energy (meV/atom): 221
Distance to the lowest polymorph of the same formula (meV per atom): 193


Entry 19:
A plane-wave DFT calculation with PBE was carried out for a relaxed structure of YPtS2.

Cell and atoms, written as POSCAR:
```
YPtS2
1.0
-2.491 2.491 7.222
2.491 -2.491 7.222
2.491 2.491 -7.222
Y Pt S
2 2 4
Direct
0.000 0.000 0.000
0.750 0.250 0.500
0.250 0.750 0.500
0.500 0.500 0.000
0.169 0.625 0.044
0.375 0.419 0.544
0.581 0.125 0.956
0.875 0.831 0.456
```

Results
Raw formation energy (meV/atom): -980
Distance to the lowest polymorph of the same formula (meV per atom): 0


Entry 20:
A plane-wave DFT calculation with PBE was carried out for a relaxed structure of Ac3Mg2Si2Pt4.

Cell and atoms, written as POSCAR:
```
Ac3Mg2Si2Pt4
1.0
4.328 0.000 0.000
-2.164 3.748 0.000
0.000 0.000 16.398
Ac Mg Si Pt
3 2 2 4
Direct
0.000 0.000 0.000
0.000 0.000 0.273
0.000 0.000 0.727
0.333 0.667 0.555
0.667 0.333 0.445
0.333 0.667 0.133
0.667 0.333 0.867
0.333 0.667 0.387
0.333 0.667 0.859
0.667 0.333 0.141
0.667 0.333 0.613
```

Results
Raw formation energy (meV/atom): -945


Number 1: energy -11.306 eV/f.u.. Number 2: energy -22.948 eV/f.u.. Number 3: energy -34.741 eV/f.u.. Number 4: energy -14.325 eV/f.u.. Number 5: energy -19.042 eV/f.u.. Number 6: energy -29.601 eV/f.u.. Number 7: energy -47.578 eV/f.u.. Number 8: energy -23.981 eV/f.u.. Number 9: energy -16.012 eV/f.u.. Number 10: energy -14.031 eV/f.u.. Number 11: energy -157.290 eV/f.u.. Number 12: energy -55.519 eV/f.u.. Number 13: energy -52.219 eV/f.u.. Number 14: energy -69.546 eV/f.u.. Number 15: energy -36.039 eV/f.u.. Number 16: energy -54.571 eV/f.u.. Number 17: energy -76.946 eV/f.u.. Number 18: energy -22.694 eV/f.u.. Number 19: energy -24.679 eV/f.u.. Number 20: energy -60.923 eV/f.u..